GaSi2S | PBE | relaxed

a b c (Å): 3.9351 5.0939 5.1963
angles (deg): 61.21 68.27 67.83
Last column: nearest neighbours and their distance in Å.
Space group P1 (No. 1)
Unique sites:
Ga  0.0000  0.0000  0.0000 [1 per cell]  3 Si 2.60-2.65, 2 S 2.64-2.65
Si  0.0153  0.4896  0.4818 [1 per cell]  1 S 2.33, 2 Si 2.38, 1 Ga 2.60
Si  0.6742  0.2644  0.3818 [1 per cell]  1 S 2.27, 2 Si 2.38
S  0.7185  0.7905  0.7661 [1 per cell]  2 Si 2.27-2.33

Output
The calculation puts the formation energy without anion corrections at 0.035 eV per atom. As for the density of states at the Fermi level: 0.9 states/eV/cell. The crystal system is triclinic. The value obtained for the magnetization is 0.000 μB/f.u. The energy above the lowest structure with this stoichiometry is 0.57 eV per formula unit.